DFT (PBE-GGA) results for a geometry-optimized Ca3NpTl2F12 structure.

It has space group R-3m (No. 166, hexagonal axes), with a = 8.0462 Å, b = 8.0462 Å, c = 21.4197 Å, α = 90.00°, β = 90.00° and γ = 120.00°. The inequivalent atoms are Ca at (0.0000, 0.5000, 0.0000), Np at (0.0000, 0.0000, 0.5000), Tl at (0.0000, 0.0000, 0.0776), F at (0.0477, 0.5238, 0.3584) and F at (0.0861, 0.5430, 0.1054).

The value obtained for the uncorrected formation energy is -3270 meV per atom. Its crystal system is trigonal. As for the total energy: -315.003 eV per cell. Its density of states at the Fermi level is 0.65 states/eV per atom.